The following is a PBE calculation of crystalline Te2RuCN at its relaxed geometry, from Alexandria.

## Properties
Formation energy (no corrections) = 148 kJ/mol of atoms
ΔE to the lowest computed polymorph = 145.0 meV per atom

Lattice parameters (Å, degrees): 5.336 5.336 3.617 90.00 90.00 90.00
Fractional coordinates of all 5 atoms:
Te1 0.000 0.500 0.000
Te2 0.500 0.000 0.000
N1 0.000 0.000 0.500
C1 0.500 0.500 0.500
Ru1 0.000 0.000 0.000

***

The following is a PBE calculation of crystalline Pr2AlZn2Rh5 at its relaxed geometry, from Alexandria.

## Properties
E_form = -582 meV per atom

Lattice parameters (Å, degrees): 3.523 9.941 9.941 90.00 90.00 90.00
Fractional coordinates of all 20 atoms:
Zn1 0.000 0.626 0.874
Rh1 0.500 0.198 0.060
Rh2 0.500 0.440 0.302
Rh3 0.500 0.940 0.198
Zn2 0.000 0.374 0.126
Pr1 0.000 0.826 0.674
Pr2 0.000 0.326 0.826
Al1 0.000 0.500 0.500
Zn3 0.000 0.126 0.626
Rh4 0.500 0.000 0.500
Al2 0.000 0.000 0.000
Rh5 0.500 0.560 0.698
Pr3 0.000 0.674 0.174
Rh6 0.500 0.698 0.440
Zn4 0.000 0.874 0.374
Rh7 0.500 0.060 0.802
Rh8 0.500 0.500 0.000
Rh9 0.500 0.302 0.560
Rh10 0.500 0.802 0.940
Pr4 0.000 0.174 0.326

***

The following is a PBE calculation of crystalline Na4Sn3F10 at its relaxed geometry, from Alexandria.

## Properties
Formation energy (no corrections) = -244 kJ/mol of atoms

Lattice parameters (Å, degrees): 11.068 11.068 5.549 89.11 89.11 112.15
Fractional coordinates of all 34 atoms:
F1 0.205 0.719 0.517
Sn1 0.828 0.666 0.165
Na1 0.655 0.345 0.250
F2 0.346 0.990 0.560
Na2 0.453 0.547 0.250
F3 0.654 0.010 0.440
Sn2 0.666 0.828 0.665
Sn3 0.172 0.334 0.835
F4 0.432 0.094 0.104
F5 0.502 0.256 0.547
Na3 0.098 0.555 0.253
F6 0.795 0.281 0.483
Na4 0.555 0.098 0.753
F7 0.010 0.654 0.940
F8 0.744 0.498 0.953
F9 0.346 0.444 0.613
F10 0.906 0.568 0.396
F11 0.281 0.795 0.983
F12 0.444 0.346 0.113
F13 0.654 0.556 0.387
Sn4 0.841 0.159 0.250
F14 0.556 0.654 0.887
Sn5 0.159 0.841 0.750
Sn6 0.334 0.172 0.335
F15 0.498 0.744 0.453
F16 0.094 0.432 0.604
F17 0.719 0.205 0.017
F18 0.568 0.906 0.896
Na5 0.902 0.445 0.747
F19 0.990 0.346 0.060
F20 0.256 0.502 0.047
Na6 0.547 0.453 0.750
Na7 0.345 0.655 0.750
Na8 0.445 0.902 0.247

***

The following is a PBE calculation of crystalline Pr2Th3 at its relaxed geometry, from Alexandria.

## Properties
ΔE to the lowest computed polymorph = 341.4 meV per atom
E_form = 365 meV per atom

Lattice parameters (Å, degrees): 9.937 9.937 6.964 44.48 44.48 60.00
Fractional coordinates of all 10 atoms:
Pr1 0.373 0.373 0.882
Th1 0.093 0.750 0.750
Th2 0.750 0.407 0.750
Pr2 0.127 0.127 0.618
Th3 0.907 0.250 0.250
Th4 0.593 0.907 0.250
Th5 0.250 0.593 0.250
Th6 0.407 0.093 0.750
Pr3 0.873 0.873 0.382
Pr4 0.627 0.627 0.118

***

The following is a PBE calculation of crystalline Cd2IrCl at its relaxed geometry, from Alexandria.

## Properties
Formation energy (no corrections) = -8 kJ/mol of atoms
ΔE to the lowest computed polymorph = 48.5 meV per atom

Lattice parameters (Å, degrees): 3.211 3.211 7.625 90.00 90.00 90.00
Fractional coordinates of all 4 atoms:
Ir1 0.500 0.500 0.750
Cl1 0.500 0.500 0.250
Cd1 0.000 0.000 0.530
Cd2 0.000 0.000 0.970

***

The following is a PBE calculation of crystalline Li2IrAu at its relaxed geometry, from Alexandria.

## Properties
E_form = -8 meV per atom

Lattice parameters (Å, degrees): 2.726 2.726 9.612 90.00 90.00 116.95
Fractional coordinates of all 4 atoms:
Au1 0.000 0.000 0.492
Ir1 0.500 0.500 0.762
Li1 0.500 0.500 0.265
Li2 0.000 0.000 0.981

***

The following is a PBE calculation of crystalline NaLaIn2Bi at its relaxed geometry, from Alexandria.

## Properties
E_form = 65 meV per atom

Lattice parameters (Å, degrees): 5.340 5.517 5.340 90.00 90.00 90.00
Fractional coordinates of all 5 atoms:
In1 0.500 0.000 0.000
Na1 0.000 0.000 0.000
La1 0.500 0.500 0.500
Bi1 0.000 0.500 0.000
In2 0.000 0.000 0.500

***

The following is a PBE calculation of crystalline CuAsHRh2 at its relaxed geometry, from Alexandria.

Lattice parameters (Å, degrees): 4.038 4.038 3.592 90.00 90.00 90.00
Fractional coordinates of all 5 atoms:
Rh1 0.500 0.000 0.000
Rh2 0.000 0.500 0.000
As1 0.500 0.500 0.500
H1 0.000 0.000 0.000
Cu1 0.000 0.000 0.500

***

| no. | size of the total moment (μB per cell) | DFT total energy (eV/atom) |
| --- | --- | --- |
| 1 | 0.49 | -5.089 |
| 2 | 0.00 | -5.842 |
| 3 | 0.00 | -4.648 |
| 4 | 0.00 | -5.999 |
| 5 | 0.00 | -3.214 |
| 6 | 0.00 | -3.999 |
| 7 | 0.00 | -3.056 |
| 8 | 0.00 | -5.441 |